# NaPm2CrO6

A relaxed structure of NaPm2CrO6 (GGA+U, Alexandria).

a = 5.041 Å, b = 5.337 Å, c = 5.337 Å
α = 90.00°, β = 90.00°, γ = 90.00°
Fractional positions:
O1 0.731 0.226 0.226
O2 0.731 0.774 0.774
O3 0.731 0.774 0.226
Pm1 0.997 0.000 0.500
Na1 0.558 0.500 0.500
O4 0.731 0.226 0.774
O5 0.120 0.500 0.500
Cr1 0.597 0.000 0.000
Pm2 0.997 0.500 0.000
O6 0.255 0.000 0.000

Properties
* density: 5332 kg/m3
* E: -71.10 eV/f.u.
* M_tot: 1.0 μB/cell